## a
A geometry-optimized MnCuSn3 structure. Source: the Alexandria database, functional PBE.

Lattice parameters (Å, degrees): 4.953 4.953 4.953 90.00 90.00 90.00
Element x y z (fractional)
Mn (0.000, 0.000, 0.000)
Cu (0.500, 0.500, 0.500)
Sn (0.000, 0.000, 0.500)
Sn (0.000, 0.500, 0.000)
Sn (0.500, 0.000, 0.000)

ρ = 6.49 Mg/m³
N(E_F) = 0.000 states/eV per atom


## b
A geometry-optimized MnCuSn3 structure. Source: the Alexandria database, functional PBE.

Lattice parameters (Å, degrees): 5.084 5.084 5.084 90.00 90.00 90.00
Element x y z (fractional)
Mn (0.500, 0.500, 0.500)
Sn (0.500, 0.000, 0.000)
Sn (0.000, 0.000, 0.500)
Sn (0.000, 0.500, 0.000)
Cu (0.000, 0.000, 0.000)

ρ = 6.00 Mg/m³
N(E_F) = 0.746 states/eV per atom


Which of them is the most stable? Correct choice: a.


## a
A geometry-optimized SrMn2Cu structure. Source: the Alexandria database, functional PBE.

Lattice parameters (Å, degrees): 4.997 4.997 4.997 124.59 113.92 91.54
Element x y z (fractional)
Sr (0.500, 0.500, 0.000)
Cu (0.181, 0.681, 0.500)
Mn (0.799, 0.299, 0.500)
Mn (0.020, 0.020, 0.000)

ρ = 4.91 Mg/m³
N(E_F) = 0.922 states/eV per atom


## b
A geometry-optimized SrMn2Cu structure. Source: the Alexandria database, functional PBE.

Lattice parameters (Å, degrees): 4.841 4.841 4.841 60.00 60.00 60.00
Element x y z (fractional)
Mn (0.250, 0.250, 0.250)
Mn (0.750, 0.750, 0.750)
Sr (0.500, 0.500, 0.500)
Cu (0.000, 0.000, 0.000)

ρ = 5.40 Mg/m³
N(E_F) = 2.004 states/eV per atom


Which of them is the most stable? Correct choice: a.


## a
A geometry-optimized SrMn2Cu structure. Source: the Alexandria database, functional PBE.

Lattice parameters (Å, degrees): 4.029 4.232 4.718 90.00 90.00 90.00
Element x y z (fractional)
Cu (0.000, 0.500, 0.500)
Mn (0.500, 0.500, 0.000)
Mn (0.000, 0.000, 0.000)
Sr (0.500, 0.000, 0.500)

ρ = 5.39 Mg/m³
N(E_F) = 0.949 states/eV per atom


## b
A geometry-optimized SrMn2Cu structure. Source: the Alexandria database, functional PBE.

Lattice parameters (Å, degrees): 5.466 5.466 5.466 135.44 135.44 64.85
Element x y z (fractional)
Cu (0.750, 0.250, 0.500)
Mn (0.000, 0.000, 0.000)
Mn (0.500, 0.500, 0.000)
Sr (0.250, 0.750, 0.500)

ρ = 5.47 Mg/m³
N(E_F) = 1.232 states/eV per atom


Which of them is the most stable? Correct choice: a.


## a
A geometry-optimized Sr2MnCu structure. Source: the Alexandria database, functional PBE.

Lattice parameters (Å, degrees): 8.873 8.873 8.873 27.48 27.48 27.48
Element x y z (fractional)
Sr (0.509, 0.509, 0.509)
Sr (0.991, 0.991, 0.991)
Cu (0.250, 0.250, 0.250)
Mn (0.750, 0.750, 0.750)

ρ = 3.72 Mg/m³
N(E_F) = 1.308 states/eV per atom


## b
A geometry-optimized Sr2MnCu structure. Source: the Alexandria database, functional PBE.

Lattice parameters (Å, degrees): 5.458 5.458 5.458 60.00 60.00 60.00
Element x y z (fractional)
Cu (0.500, 0.500, 0.500)
Mn (0.000, 0.000, 0.000)
Sr (0.250, 0.250, 0.250)
Sr (0.750, 0.750, 0.750)

ρ = 4.24 Mg/m³
N(E_F) = 1.211 states/eV per atom


## c
A geometry-optimized Sr2MnCu structure. Source: the Alexandria database, functional PBE.

Lattice parameters (Å, degrees): 6.629 6.629 5.260 66.51 66.51 33.43
Element x y z (fractional)
Cu (0.544, 0.544, 0.454)
Mn (0.184, 0.184, 0.316)
Sr (0.992, 0.992, 0.008)
Sr (0.780, 0.780, 0.721)

ρ = 4.21 Mg/m³
N(E_F) = 0.997 states/eV per atom


Which of them is the most stable? Correct choice: c.


## a
A geometry-optimized Sr2MnCu structure. Source: the Alexandria database, functional PBE.

Lattice parameters (Å, degrees): 5.300 5.300 5.300 60.00 60.00 60.00
Element x y z (fractional)
Sr (0.000, 0.000, 0.000)
Sr (0.250, 0.250, 0.250)
Cu (0.500, 0.500, 0.500)
Mn (0.750, 0.750, 0.750)

ρ = 4.63 Mg/m³
N(E_F) = 1.332 states/eV per atom


## b
A geometry-optimized Sr2MnCu structure. Source: the Alexandria database, functional PBE.

Lattice parameters (Å, degrees): 8.485 8.485 6.961 52.45 52.45 90.00
Element x y z (fractional)
Sr (0.875, 0.906, 0.750)
Sr (0.375, 0.344, 0.750)
Sr (0.656, 0.125, 0.250)
Sr (0.094, 0.625, 0.250)
Cu (0.750, 0.250, 0.500)
Cu (0.000, 0.000, 0.000)
Mn (0.500, 0.500, 0.000)
Mn (0.250, 0.750, 0.500)

ρ = 3.84 Mg/m³
N(E_F) = 1.193 states/eV per atom


## c
A geometry-optimized Sr2MnCu structure. Source: the Alexandria database, functional PBE.

Lattice parameters (Å, degrees): 4.385 4.655 6.401 68.67 90.00 90.00
Element x y z (fractional)
Sr (0.500, 0.266, 0.343)
Sr (0.000, 0.979, 0.916)
Cu (0.000, 0.681, 0.513)
Mn (0.500, 0.573, 0.728)

ρ = 4.01 Mg/m³
N(E_F) = 1.062 states/eV per atom


## d
A geometry-optimized Sr2MnCu structure. Source: the Alexandria database, functional PBE.

Lattice parameters (Å, degrees): 8.603 5.441 3.854 90.00 63.38 129.19
Element x y z (fractional)
Sr (0.000, 0.000, 0.000)
Sr (0.500, 0.000, 0.500)
Mn (0.500, 0.500, 0.000)
Cu (0.000, 0.500, 0.500)

ρ = 4.28 Mg/m³
N(E_F) = 0.813 states/eV per atom


Which of them is the most stable? Correct choice: c.


## a
A geometry-optimized SrMnCu structure. Source: the Alexandria database, functional PBE.

Lattice parameters (Å, degrees): 4.362 4.362 4.446 90.00 90.00 120.00
Element x y z (fractional)
Mn (0.667, 0.333, 0.167)
Sr (0.333, 0.667, 0.667)
Cu (0.000, 0.000, 0.167)

ρ = 4.67 Mg/m³
N(E_F) = 0.625 states/eV per atom


## b
A geometry-optimized SrMnCu structure. Source: the Alexandria database, functional PBE.

Lattice parameters (Å, degrees): 5.021 5.021 5.021 60.00 60.00 60.00
Element x y z (fractional)
Sr (0.750, 0.750, 0.750)
Mn (0.500, 0.500, 0.500)
Cu (0.000, 0.000, 0.000)

ρ = 3.82 Mg/m³
N(E_F) = 1.084 states/eV per atom


Which of them is the most stable? Correct choice: a.


## a
A geometry-optimized SrMnCu structure. Source: the Alexandria database, functional PBE.

Lattice parameters (Å, degrees): 4.805 4.805 4.805 60.00 60.00 60.00
Element x y z (fractional)
Mn (0.000, 0.000, 0.000)
Cu (0.750, 0.750, 0.750)
Sr (0.500, 0.500, 0.500)

ρ = 4.36 Mg/m³
N(E_F) = 1.135 states/eV per atom


## b
A geometry-optimized SrMnCu structure. Source: the Alexandria database, functional PBE.

Lattice parameters (Å, degrees): 6.101 6.101 3.478 73.44 73.44 33.12
Element x y z (fractional)
Cu (0.045, 0.045, 0.955)
Sr (0.337, 0.337, 0.663)
Mn (0.618, 0.618, 0.382)

ρ = 5.07 Mg/m³
N(E_F) = 0.823 states/eV per atom


Which of them is the most stable? Correct choice: b.


## a
A geometry-optimized Ta3MnCu structure. Source: the Alexandria database, functional PBE.

Lattice parameters (Å, degrees): 4.561 4.561 4.561 90.00 90.00 90.00
Element x y z (fractional)
Ta (0.000, 0.500, 0.000)
Ta (0.000, 0.000, 0.500)
Ta (0.500, 0.000, 0.000)
Cu (0.500, 0.500, 0.500)
Mn (0.000, 0.000, 0.000)

ρ = 11.58 Mg/m³
N(E_F) = 0.818 states/eV per atom


## b
A geometry-optimized Ta3MnCu structure. Source: the Alexandria database, functional PBE.

Lattice parameters (Å, degrees): 4.575 4.575 4.575 90.00 90.00 90.00
Element x y z (fractional)
Mn (0.500, 0.500, 0.500)
Ta (0.000, 0.000, 0.500)
Ta (0.000, 0.500, 0.000)
Ta (0.500, 0.000, 0.000)
Cu (0.000, 0.000, 0.000)

ρ = 11.47 Mg/m³
N(E_F) = 1.868 states/eV per atom


Which of them is the most stable? Correct choice: a.